{
  "formula": "PmNd2Pd",
  "functional": "PBE-GGA",
  "state": "optimized geometry",
  "spacegroup": "Cmcm, No. 63",
  "m_tot_mub_per_fu": 0.0,
  "de_polymorph_ev_per_fu": 0.06,
  "formation_energy_ev_per_atom": -0.392,
  "lattice_angstrom": [[1.9555, -6.1477, 0.0000], [1.9555, 6.1477, 0.0000], [0.0000, 0.0000, 9.9316]],
  "species": ["Pm", "Pm", "Nd", "Nd", "Nd", "Nd", "Pd", "Pd"],
  "fractional_positions": [[0.0732, 0.9268, 0.7500], [0.9268, 0.0732, 0.2500], [0.3645, 0.6355, 0.5601], [0.3645, 0.6355, 0.9399], [0.6355, 0.3645, 0.0601], [0.6355, 0.3645, 0.4399], [0.2311, 0.7689, 0.2500], [0.7689, 0.2311, 0.7500]]
}

***

{
  "formula": "Pr2USe2N2",
  "functional": "PBE-GGA",
  "state": "optimized geometry",
  "spacegroup": "I4/mmm, No. 139",
  "m_tot_mub_per_fu": 1.9,
  "formation_energy_uncorrected_ev_per_atom": -1.514,
  "lattice_angstrom": [[-2.1763, 2.1763, 7.8467], [2.1763, -2.1763, 7.8467], [2.1763, 2.1763, -7.8467]],
  "species": ["Pr", "Pr", "U", "Se", "Se", "N", "N"],
  "fractional_positions": [[0.1222, 0.1222, 0.0000], [0.8778, 0.8778, 0.0000], [0.5000, 0.5000, 0.0000], [0.3183, 0.3183, 0.0000], [0.6817, 0.6817, 0.0000], [0.0000, 0.5000, 0.5000], [0.5000, 0.0000, 0.5000]]
}